Entry 1:
# Pm2UPaAs4

Crystalline Pm2UPaAs4 at its relaxed geometry (PBE-GGA, the Alexandria database).

a b c (Å): 7.1717 4.1450 7.2743
angles (deg): 90.00 109.24 90.00
Space group P2/m (No. 10)
Symmetry-distinct sites (fractional):
Pm  0.0000  0.0000  0.0000 x1
Pm  0.5000  0.5000  0.0000 x1
U  0.0000  0.5000  0.5000 x1
Pa  0.5000  0.0000  0.5000 x1
As  0.2469  0.0000  0.7394 x2
As  0.2540  0.5000  0.2606 x2

Energy of formation from the pure elements: -1.2059 eV/atom

Entry 2:
# LaSiI2O

Crystalline LaSiI2O at its relaxed geometry (PBE-GGA, the Alexandria database).

a b c (Å): 6.5135 6.5135 4.2800
angles (deg): 90.00 90.00 90.00
Space group P4/mmm (No. 123)
Symmetry-distinct sites (fractional):
La  0.0000  0.0000  0.0000 x1
Si  0.5000  0.5000  0.5000 x1
I  0.0000  0.5000  0.0000 x2
O  0.0000  0.0000  0.5000 x1

ΔE to the lowest computed polymorph: 0.000 eV/atom
Formation energy without anion corrections: -4.0 eV/f.u.

Entry 3:
# Sr2GaGe2

Crystalline Sr2GaGe2 at its relaxed geometry (PBE-GGA, the Alexandria database).

a b c (Å): 3.8177 3.8177 19.4173
angles (deg): 90.00 90.00 90.00
Space group I4/mmm (No. 139)
Symmetry-distinct sites (fractional):
Sr  0.0000  0.0000  0.1058 x4
Ga  0.0000  0.0000  0.5000 x2
Ge  0.0000  0.5000  0.2500 x4

Energy of formation from the pure elements: -0.2172 eV/atom

Entry 4:
# Ac6Sb3P2S

Crystalline Ac6Sb3P2S at its relaxed geometry (PBE-GGA, the Alexandria database).

a b c (Å): 20.0746 4.5971 9.2210
angles (deg): 90.00 103.48 90.00
Space group C2/m (No. 12)
Symmetry-distinct sites (fractional):
Ac  0.0053  0.0000  0.2443 x4
Ac  0.1646  0.5000  0.0966 x4
Ac  0.1714  0.5000  0.5725 x4
Sb  0.0000  0.5000  0.5000 x2
Sb  0.1651  0.0000  0.8341 x4
P  0.1657  0.0000  0.3314 x4
S  0.0000  0.5000  0.0000 x2

Formation energy without anion corrections: -17.1 eV/f.u.

Entry 5:
# TlRe2Rh

Crystalline TlRe2Rh at its relaxed geometry (PBE-GGA, the Alexandria database).

a b c (Å): 2.8881 2.8881 27.5245
angles (deg): 90.00 90.00 120.00
Space group R3m (No. 160, hexagonal axes)
Symmetry-distinct sites (fractional):
Tl  0.0000  0.0000  0.0000 x3
Re  0.0000  0.0000  0.2409 x3
Re  0.0000  0.0000  0.4982 x3
Rh  0.0000  0.0000  0.7538 x3

ΔE to the lowest computed polymorph: 0.057 eV/atom
Energy of formation from the pure elements: 0.3837 eV/atom

Entry 6:
# La3YTl2

Crystalline La3YTl2 at its relaxed geometry (PBE-GGA, the Alexandria database).

a b c (Å): 7.0189 5.3037 10.4610
angles (deg): 90.00 93.30 90.00
Space group P2_1/m (No. 11)
Symmetry-distinct sites (fractional):
La  0.0532  0.2500  0.3000 x2
La  0.1947  0.2500  0.9319 x2
La  0.3233  0.7500  0.4270 x2
Y  0.4537  0.7500  0.7893 x2
Tl  0.2063  0.2500  0.6197 x2
Tl  0.2973  0.7500  0.1066 x2

ΔE to the lowest computed polymorph: 0.000 eV/atom
Energy of formation from the pure elements: -0.3005 eV/atom

Entry 7:
# CsYSBr2

Crystalline CsYSBr2 at its relaxed geometry (PBE-GGA, the Alexandria database).

a b c (Å): 5.7802 5.7802 5.2339
angles (deg): 90.00 90.00 90.00
Space group P4/mmm (No. 123)
Symmetry-distinct sites (fractional):
Cs  0.0000  0.0000  0.0000 x1
Y  0.5000  0.5000  0.5000 x1
S  0.5000  0.5000  0.0000 x1
Br  0.0000  0.5000  0.5000 x2

Formation energy without anion corrections: -8.9 eV/f.u.

Entry 8:
# FeTcP2

Crystalline FeTcP2 at its relaxed geometry (PBE-GGA, the Alexandria database).

a b c (Å): 3.0365 3.1648 10.6045
angles (deg): 90.00 90.00 90.00
Space group Imm2 (No. 44)
Symmetry-distinct sites (fractional):
Fe  0.0000  0.0000  0.0000 x2
Tc  0.0000  0.5000  0.2501 x2
P  0.0000  0.0000  0.5745 x2
P  0.0000  0.5000  0.8476 x2

ΔE to the lowest computed polymorph: 0.000 eV/atom
Energy of formation from the pure elements: -0.4087 eV/atom

Entry 9:
# LiCa2Br2O2

Crystalline LiCa2Br2O2 at its relaxed geometry (PBE-GGA, the Alexandria database).

a b c (Å): 3.8432 3.8432 18.8314
angles (deg): 90.00 90.00 90.00
Space group I4/mmm (No. 139)
Symmetry-distinct sites (fractional):
Li  0.0000  0.0000  0.0000 x2
Ca  0.0000  0.0000  0.4166 x4
Br  0.0000  0.0000  0.1585 x4
O  0.0000  0.5000  0.0000 x4

Formation energy without anion corrections: -14.3 eV/f.u.

Entry 10:
# CdPbAu4

Crystalline CdPbAu4 at its relaxed geometry (PBE-GGA, the Alexandria database).

a b c (Å): 7.9881 7.9881 7.9881
angles (deg): 90.00 90.00 90.00
Space group F-43m (No. 216)
Symmetry-distinct sites (fractional):
Cd  0.0000  0.0000  0.0000 x4
Pb  0.2500  0.2500  0.7500 x4
Au  0.1255  0.1255  0.3745 x16

ΔE to the lowest computed polymorph: 0.015 eV/atom
Energy of formation from the pure elements: -0.0403 eV/atom

Entry 11:
# Sn3HgP

Crystalline Sn3HgP at its relaxed geometry (PBE-GGA, the Alexandria database).

a b c (Å): 5.3140 5.3140 5.3140
angles (deg): 90.00 90.00 90.00
Space group Pm-3m (No. 221)
Symmetry-distinct sites (fractional):
Sn  0.0000  0.0000  0.5000 x3
Hg  0.5000  0.5000  0.5000 x1
P  0.0000  0.0000  0.0000 x1

ΔE to the lowest computed polymorph: 0.000 eV/atom
Energy of formation from the pure elements: 0.4021 eV/atom

Entry 12:
# Nd6In2Pd

Crystalline Nd6In2Pd at its relaxed geometry (PBE-GGA, the Alexandria database).

a b c (Å): 9.0094 9.0094 3.8781
angles (deg): 90.00 90.00 120.00
Space group P-62m (No. 189)
Symmetry-distinct sites (fractional):
Nd  0.0000  0.3994  0.0000 x3
Nd  0.0000  0.7497  0.5000 x3
In  0.3333  0.6667  0.5000 x2
Pd  0.0000  0.0000  0.0000 x1

ΔE to the lowest computed polymorph: 0.000 eV/atom
Energy of formation from the pure elements: -0.3951 eV/atom

Entry 13:
# SrOsNF2

Crystalline SrOsNF2 at its relaxed geometry (PBE-GGA, the Alexandria database).

a b c (Å): 4.4025 4.4025 5.3210
angles (deg): 90.00 90.00 90.00
Space group P4/mmm (No. 123)
Symmetry-distinct sites (fractional):
Sr  0.0000  0.0000  0.0000 x1
Os  0.5000  0.5000  0.5000 x1
N  0.0000  0.0000  0.5000 x1
F  0.0000  0.5000  0.0000 x2

ΔE to the lowest computed polymorph: 1.408 eV/atom
Formation energy without anion corrections: 1.2 eV/f.u.

Entry 14:
# NpCuSn

Crystalline NpCuSn at its relaxed geometry (PBE-GGA, the Alexandria database).

a b c (Å): 3.1771 3.1771 12.3187
angles (deg): 90.00 90.00 90.00
Space group I4mm (No. 107)
Symmetry-distinct sites (fractional):
Np  0.0000  0.0000  0.0000 x2
Cu  0.0000  0.0000  0.6608 x2
Sn  0.0000  0.0000  0.2983 x2

Energy of formation from the pure elements: 0.1764 eV/atom

Entry 15:
# NaSn4Te5

Crystalline NaSn4Te5 at its relaxed geometry (PBE-GGA, the Alexandria database).

a b c (Å): 4.4759 6.2749 22.8427
angles (deg): 90.00 90.00 90.00
Space group Immm (No. 71)
Symmetry-distinct sites (fractional):
Na  0.0000  0.0000  0.0000 x2
Sn  0.0000  0.0000  0.1968 x4
Sn  0.0000  0.0000  0.4021 x4
Te  0.0000  0.5000  0.0000 x2
Te  0.0000  0.5000  0.1988 x4
Te  0.0000  0.5000  0.3960 x4

ΔE to the lowest computed polymorph: 0.000 eV/atom
Formation energy without anion corrections: -3.8 eV/f.u.

Entry 16:
# LiSeBr2N

Crystalline LiSeBr2N at its relaxed geometry (PBE-GGA, the Alexandria database).

a b c (Å): 5.0713 5.0713 4.8490
angles (deg): 90.00 90.00 90.00
Space group P4/mmm (No. 123)
Symmetry-distinct sites (fractional):
Li  0.0000  0.0000  0.0000 x1
Se  0.0000  0.0000  0.5000 x1
Br  0.0000  0.5000  0.0000 x2
N  0.5000  0.5000  0.5000 x1

ΔE to the lowest computed polymorph: 0.515 eV/atom
Formation energy without anion corrections: 5.1 eV/f.u.

Entry 17:
# Sr2MnSn2

Crystalline Sr2MnSn2 at its relaxed geometry (PBE-GGA, the Alexandria database).

a b c (Å): 7.5853 7.5853 5.2372
angles (deg): 90.00 90.00 90.00
Space group P4/mbm (No. 127)
Symmetry-distinct sites (fractional):
Sr  0.1685  0.3315  0.0000 x4
Mn  0.0000  0.0000  0.5000 x2
Sn  0.1411  0.6411  0.5000 x4

Energy of formation from the pure elements: -0.2901 eV/atom

Entry 18:
# RbPdN2

Crystalline RbPdN2 at its relaxed geometry (PBE-GGA, the Alexandria database).

a b c (Å): 6.2249 6.2249 7.4894
angles (deg): 90.00 90.00 90.00
Space group I-42d (No. 122)
Symmetry-distinct sites (fractional):
Rb  0.0000  0.0000  0.0000 x4
Pd  0.0000  0.0000  0.5000 x4
N  0.1186  0.7500  0.6250 x8

ΔE to the lowest computed polymorph: 0.792 eV/atom
Formation energy without anion corrections: 3.5 eV/f.u.

Entry 19:
# Y4ThTl2

Crystalline Y4ThTl2 at its relaxed geometry (PBE-GGA, the Alexandria database).

a b c (Å): 5.5183 5.5183 26.5583
angles (deg): 90.00 90.00 120.00
Space group R-3m (No. 166, hexagonal axes)
Symmetry-distinct sites (fractional):
Y  0.0000  0.0000  0.1274 x6
Y  0.0000  0.0000  0.2625 x6
Th  0.0000  0.0000  0.5000 x3
Tl  0.0000  0.0000  0.3803 x6

Energy of formation from the pure elements: 0.0857 eV/atom

Entry 20:
# CeAl4Si2

Crystalline CeAl4Si2 at its relaxed geometry (PBE-GGA, the Alexandria database).

a b c (Å): 4.0687 15.2022 4.0277
angles (deg): 90.00 90.00 90.00
Space group Cmmm (No. 65)
Symmetry-distinct sites (fractional):
Ce  0.0000  0.0000  0.0000 x2
Al  0.0000  0.1841  0.5000 x4
Al  0.0000  0.3149  0.0000 x4
Si  0.0000  0.4243  0.5000 x4

Formation energy without anion corrections: -1.8 eV/f.u.

What are the total energy values for these records? In order: -7.32 -4.47 -3.34 -5.75 -8.27 -4.63 -4.75 -7.82 -4.78 -3.00 -3.14 -4.76 -4.75 -6.84 -3.68 -2.40 -4.40 -4.83 -5.34 -4.80 eV/atom.